Record 1
Material: SmMn2H8
Method: DFT, PBE-GGA
State: optimized geometry

Results
The calculation puts the total energy at -0.3443 Ry per atom.

Structure (POSCAR):
```
SmMn2H8
1.0
3.623 0.300 -0.223
-0.531 4.350 -1.943
0.258 -0.163 4.784
H Mn Sm
8 2 1
Cartesian
3.257 4.403 1.158 H
-0.133 1.380 -0.472 H
1.515 3.159 -0.056 H
0.093 0.084 1.459 H
2.616 2.216 1.180 H
1.835 1.328 2.673 H
0.735 2.271 1.437 H
3.483 3.107 3.090 H
-0.276 2.890 0.233 Mn
0.003 1.297 2.608 Mn
1.812 0.150 -0.112 Sm
```



Record 2
Material: SmMnH3
Method: DFT, PBE-GGA
State: optimized geometry

Results
The calculation puts the total energy at -0.3762 Ry per atom.

Structure (POSCAR):
```
SmMnH3
1.0
3.619 0.000 0.000
0.000 3.619 0.000
0.000 0.000 3.619
Mn H Sm
1 3 1
Cartesian
0.000 0.000 0.000 Mn
0.000 0.000 1.810 H
1.810 0.000 0.000 H
0.000 1.810 0.000 H
1.810 1.810 1.810 Sm
```



Record 3
Material: Sm12Mn3H5
Method: DFT, PBE-GGA
State: optimized geometry

Results
The calculation puts the total energy at -0.3717 Ry per atom.

Structure (POSCAR):
```
Sm12Mn3H5
1.0
13.436 0.000 0.000
-4.479 12.667 0.000
-4.479 -6.334 10.970
Mn Sm H
12 48 20
Cartesian
3.359 7.125 6.856 Mn
-3.359 2.375 9.599 Mn
7.838 3.959 1.371 Mn
-1.120 5.542 6.856 Mn
1.120 -0.792 4.114 Mn
-3.359 -2.375 9.599 Mn
5.598 0.792 4.114 Mn
1.120 6.334 2.743 Mn
7.838 8.709 1.371 Mn
-5.598 6.334 8.228 Mn
10.077 0.000 2.743 Mn
3.359 0.000 8.228 Mn
0.545 7.997 7.560 Sm
2.880 8.124 1.048 Sm
-1.599 0.012 8.896 Sm
-3.312 10.724 1.313 Sm
-3.934 5.715 5.750 Sm
-1.695 -0.618 5.221 Sm
2.880 4.531 1.027 Sm
2.784 1.663 3.410 Sm
8.413 0.618 5.221 Sm
-0.640 8.137 1.027 Sm
9.598 6.346 2.075 Sm
-5.646 3.332 7.825 Sm
2.221 8.590 4.437 Sm
-1.072 4.390 9.658 Sm
0.018 4.078 4.437 Sm
5.119 -1.803 9.944 Sm
5.646 -1.058 6.512 Sm
1.599 1.803 9.944 Sm
5.551 1.943 1.313 Sm
5.551 9.666 3.146 Sm
4.460 2.256 6.533 Sm
2.257 -2.256 6.533 Sm
3.934 -1.664 3.410 Sm
5.023 5.289 8.631 Sm
8.939 1.363 0.265 Sm
7.790 -4.390 9.658 Sm
8.975 -2.714 6.798 Sm
-2.257 2.714 6.798 Sm
1.599 -1.791 9.922 Sm
-2.257 -4.971 10.706 Sm
6.736 11.304 0.265 Sm
6.173 6.952 5.750 Sm
-0.640 4.543 1.048 Sm
-1.167 7.392 4.459 Sm
-2.784 7.379 8.631 Sm
-4.460 4.971 10.706 Sm
-1.072 -3.332 7.825 Sm
-0.545 1.045 2.339 Sm
-4.497 9.048 4.172 Sm
10.124 3.002 3.146 Sm
7.263 -1.045 2.339 Sm
6.078 6.321 2.075 Sm
1.695 4.670 7.560 Sm
1.072 1.058 6.512 Sm
6.736 3.619 4.172 Sm
3.406 5.275 4.459 Sm
5.119 1.791 9.922 Sm
-5.119 -0.012 8.896 Sm
1.120 -3.167 8.228 H
-3.359 7.125 4.114 H
6.718 0.000 0.000 H
-1.120 0.792 6.856 H
-2.239 -3.167 5.485 H
-2.239 6.334 0.000 H
7.838 -0.792 6.856 H
-1.120 10.292 1.371 H
0.000 0.000 0.000 H
3.359 9.501 2.743 H
1.120 3.959 9.599 H
3.359 2.375 1.371 H
-4.479 3.167 5.485 H
5.598 3.167 8.228 H
4.479 -3.167 5.485 H
2.239 3.167 5.485 H
-1.120 3.167 2.743 H
5.598 5.542 4.114 H
5.598 -3.959 9.599 H
4.479 6.334 0.000 H
```